Material: LiPaV2O8
Method: DFT, PBE with a Hubbard U
State: relaxed

Structure (POSCAR):
```
LiPaV2O8
1.0
-2.534 2.534 5.516
2.534 -2.534 5.516
2.534 2.534 -5.516
Li Pa V O
1 1 2 8
Direct
0.000 0.000 0.000
0.250 0.750 0.500
0.500 0.500 0.000
0.750 0.250 0.500
0.266 0.662 0.103
0.338 0.441 0.604
0.415 0.012 0.084
0.559 0.162 0.897
0.669 0.585 0.597
0.838 0.734 0.396
0.928 0.331 0.916
0.988 0.072 0.403
```

The value obtained for the magnetic moment is 0.0 μB/cell. For the calculated volume, the calculation gives 11.808 A^3/atom. For the electronic total energy, the calculation gives -94.3 eV for the cell shown.